Entry 1:
{
  "formula": "KAl2GaCl",
  "functional": "GGA-PBE",
  "state": "relaxed",
  "space_group": "P4/mmm (123)",
  "lattice": [[6.2529, 0.0000, 0.0000], [0.0000, 6.2529, 0.0000], [0.0000, 0.0000, 6.0090]],
  "species": ["K", "Al", "Al", "Ga", "Cl"],
  "frac_coords": [[0.0000, 0.0000, 0.0000], [0.0000, 0.5000, 0.0000], [0.5000, 0.0000, 0.0000], [0.0000, 0.0000, 0.5000], [0.5000, 0.5000, 0.5000]]
}


Entry 2:
{
  "formula": "AlGaN2Cl",
  "functional": "GGA-PBE",
  "state": "relaxed",
  "space_group": "P4/mmm (123)",
  "lattice": [[3.7065, 0.0000, 0.0000], [0.0000, 3.7065, 0.0000], [0.0000, 0.0000, 6.6399]],
  "species": ["Al", "Ga", "N", "N", "Cl"],
  "frac_coords": [[0.0000, 0.0000, 0.0000], [0.0000, 0.0000, 0.5000], [0.0000, 0.5000, 0.0000], [0.5000, 0.0000, 0.0000], [0.5000, 0.5000, 0.5000]]
}


Entry 3:
{
  "formula": "AlGaP2Cl",
  "functional": "GGA-PBE",
  "state": "relaxed",
  "de_polymorph_ev_per_atom": 0.000,
  "space_group": "P4/mmm (123)",
  "lattice": [[4.6745, 0.0000, 0.0000], [0.0000, 4.6745, 0.0000], [0.0000, 0.0000, 5.0323]],
  "species": ["Al", "Ga", "P", "P", "Cl"],
  "frac_coords": [[0.0000, 0.0000, 0.0000], [0.5000, 0.5000, 0.5000], [0.0000, 0.5000, 0.0000], [0.5000, 0.0000, 0.0000], [0.0000, 0.0000, 0.5000]]
}


Number 1: formation energy from raw total energies 1.077 eV/atom, raw total energy -1.614 eV per atom, D(E_F) 0.893 states/eV/atom. Number 2: formation energy from raw total energies 0.531 eV/atom, raw total energy -4.523 eV per atom, D(E_F) 0.456 states/eV/atom. Number 3: formation energy from raw total energies 0.218 eV/atom, raw total energy -3.669 eV per atom, D(E_F) 0.675 states/eV/atom.